(1)
Here is an optimized crystal structure of Co2HgCl from Alexandria. Energies are from PBEsol.

Calculated values
- Crystal system: monoclinic
- SG: C2/m

Unit cell a=4.9191 b=4.9191 c=7.1112 alpha=127.84 beta=127.84 gamma=35.19
Atoms (fractional coordinates):
Co 0.1551 0.1551 0.3516
Co 0.8449 0.8449 0.6484
Hg 0.5000 0.5000 0.5000
Cl 0.5000 0.5000 0.0000



(2)
Here is an optimized crystal structure of CoHgCl2 from Alexandria. Energies are from PBEsol.

Calculated values
- Crystal system: tetragonal
- SG: P4/mmm

Unit cell a=4.7223 b=4.7223 c=3.3512 alpha=90.00 beta=90.00 gamma=90.00
Atoms (fractional coordinates):
Co 0.0000 0.0000 0.0000
Hg 0.5000 0.5000 0.0000
Cl 0.0000 0.5000 0.5000
Cl 0.5000 0.0000 0.5000



(3)
Here is an optimized crystal structure of Co2HgCl from Alexandria. Energies are from PBEsol.

Calculated values
- Crystal system: tetragonal
- SG: P4/mmm

Unit cell a=4.4684 b=4.4684 c=2.9627 alpha=90.00 beta=90.00 gamma=90.00
Atoms (fractional coordinates):
Co 0.0000 0.5000 0.0000
Co 0.5000 0.0000 0.0000
Hg 0.0000 0.0000 0.5000
Cl 0.5000 0.5000 0.5000



no.,E_form (uncorrected) (eV/atom),relative energy among the computed polymorphs (eV per atom)
1,0.26,0.0000
2,0.43,0.7701
3,0.65,0.3928